No. 1
! meta-GGA SCAN MgAs2W, single point on PBEsol structure; values from VASP
&SYSTEM
  ibrav = 0, nat = 4, ntyp = 3
/
ATOMIC_SPECIES
Mg 24.30 Mg.upf
As 74.92 As.upf
W 183.84 W.upf
ATOMIC_POSITIONS crystal
Mg 0.5000 0.5000 0.0000
As 0.0000 0.0000 0.7173
W 0.5000 0.5000 0.5000
As 0.0000 0.0000 0.2827
CELL_PARAMETERS angstrom
-1.6874 2.0812 1.7285
-2.4681 -0.3498 -1.9881
-2.3042 -4.9701 3.7350
! DFT formation energy: -17 kJ/mol of formula units
! total DFT energy (no corrections): -28.81 eV per atom
! space-group type: P4/mmm

***

No. 2
! meta-GGA SCAN Mg2AsW, single point on PBEsol structure; values from VASP
&SYSTEM
  ibrav = 0, nat = 4, ntyp = 3
/
ATOMIC_SPECIES
Mg 24.30 Mg.upf
W 183.84 W.upf
As 74.92 As.upf
ATOMIC_POSITIONS crystal
Mg 0.6993 0.5000 0.2726
Mg 0.0539 0.0000 0.9845
W 0.3183 0.0000 0.5110
As 0.4285 0.5000 0.7318
CELL_PARAMETERS angstrom
2.8212 0.0000 -0.0382
0.0000 4.6047 0.0000
-1.3356 0.0000 5.3976
! DFT formation energy: 75 kJ/mol of formula units
! total DFT energy (no corrections): -24.76 eV per atom
! space-group type: Amm2

***

No. 3
! meta-GGA SCAN YMgAs2, single point on PBEsol structure; values from VASP
&SYSTEM
  ibrav = 0, nat = 4, ntyp = 3
/
ATOMIC_SPECIES
As 74.92 As.upf
Y 88.91 Y.upf
Mg 24.30 Mg.upf
ATOMIC_POSITIONS crystal
As 0.7500 0.2500 0.5000
Y 0.2500 0.7500 0.5000
Mg 0.5000 0.5000 0.0000
As 0.0000 0.0000 0.0000
CELL_PARAMETERS angstrom
3.9852 0.0000 0.0000
0.0000 3.9852 0.0000
-1.9926 -1.9926 5.1415
! DFT formation energy: -323 kJ/mol of formula units
! total DFT energy (no corrections): -19.14 eV per atom
! space-group type: I-4m2

***

No. 4
! meta-GGA SCAN YMg2As, single point on PBEsol structure; values from VASP
&SYSTEM
  ibrav = 0, nat = 4, ntyp = 3
/
ATOMIC_SPECIES
Mg 24.30 Mg.upf
As 74.92 As.upf
Y 88.91 Y.upf
ATOMIC_POSITIONS crystal
Mg 0.5000 0.5000 0.2286
Mg 0.0000 0.0000 0.0093
As 0.5000 0.5000 0.7302
Y 0.0000 0.0000 0.5319
CELL_PARAMETERS angstrom
3.7720 0.0000 0.0000
0.0000 3.7720 0.0000
0.0000 0.0000 6.2910
! DFT formation energy: -185 kJ/mol of formula units
! total DFT energy (no corrections): -14.97 eV per atom
! space-group type: P4mm

***

Q: Which M_tot values were calculated for the entries above? A: 0.0 0.0 0.0 0.0, in μB/f.u..